1.
The following is a DFT calculation (GGA-PBE) of crystalline DyAl11Ru at its relaxed geometry.

For the formation energy, the calculation gives -0.2636 eV/atom. The total DFT energy (no corrections) is -4.50 eV/atom. The calculated volume comes out at 441 Å³/cell. The total moment is 0.0 μB/f.u. The density of states at the Fermi level is 0.394 states/eV/atom.

The structure belongs to space group C2/m (No. 12); the cell edges are 5.194, 12.618 and 7.147 Å and the angles 90.00°, 109.60° and 90.00°. Symmetry generates all atoms from Dy at (0.000, 0.000, 0.000), Al at (0.000, 0.000, 0.500), Al at (0.109, 0.392, 0.225), Al at (0.188, 0.174, 0.360), Al at (0.250, 0.250, 0.000) and Ru at (0.000, 0.500, 0.500).



2.
The following is a DFT calculation (GGA-PBE) of crystalline DyAlRu2 at its relaxed geometry.

For the formation energy, the calculation gives -0.3864 eV/atom. The total DFT energy (no corrections) is -7.11 eV/atom. The calculated volume comes out at 67 Å³/cell. The total moment is 0.0 μB/f.u. The density of states at the Fermi level is 1.275 states/eV/atom.

The structure belongs to space group P4/mmm (No. 123); the cell edges are 3.228, 3.228 and 6.403 Å and the angles 90.00°, 90.00° and 90.00°. Symmetry generates all atoms from Dy at (0.000, 0.000, 0.000), Al at (0.000, 0.000, 0.500) and Ru at (0.500, 0.500, 0.285).



3.
The following is a DFT calculation (GGA-PBE) of crystalline Dy2AlRu3 at its relaxed geometry.

For the formation energy, the calculation gives -0.4436 eV/atom. The total DFT energy (no corrections) is -7.24 eV/atom. The calculated volume comes out at 217 Å³/cell. The total moment is 1.7 μB/f.u. The density of states at the Fermi level is 1.244 states/eV/atom.

The structure belongs to space group P6_3/mmc (No. 194); the cell edges are 5.4527, 5.4527 and 8.4309 Å and the angles 90.00°, 90.00° and 120.00°. Symmetry generates all atoms from Dy at (0.3333, 0.6667, 0.0661), Al at (0.0000, 0.0000, 0.0000) and Ru at (0.1709, 0.3418, 0.7500).



4.
The following is a DFT calculation (GGA-PBE) of crystalline Dy6Al2Ru at its relaxed geometry.

For the formation energy, the calculation gives -0.1100 eV/atom. The total DFT energy (no corrections) is -5.04 eV/atom. The calculated volume comes out at 520 Å³/cell. The total moment is 0.0 μB/f.u. The density of states at the Fermi level is 0.958 states/eV/atom.

The structure belongs to space group Immm (No. 71); the cell edges are 5.032, 7.057 and 14.633 Å and the angles 90.00°, 90.00° and 90.00°. Symmetry generates all atoms from Dy at (0.000, 0.235, 0.000), Dy at (0.000, 0.256, 0.343), Al at (0.000, 0.500, 0.168) and Ru at (0.000, 0.500, 0.500).



5.
The following is a DFT calculation (GGA-PBE) of crystalline DyAl2Ru2 at its relaxed geometry.

For the formation energy, the calculation gives -0.4842 eV/atom. The total DFT energy (no corrections) is -6.61 eV/atom. The calculated volume comes out at 357 Å³/cell. The total moment is 0.1 μB/f.u. The density of states at the Fermi level is 0.697 states/eV/atom.

The structure belongs to space group I4/mmm (No. 139); the cell edges are 4.008, 4.008 and 22.238 Å and the angles 90.00°, 90.00° and 90.00°. Symmetry generates all atoms from Dy at (0.000, 0.000, 0.126), Al at (0.000, 0.000, 0.318), Al at (0.000, 0.500, 0.000), Ru at (0.000, 0.000, 0.432) and Ru at (0.000, 0.500, 0.250).



6.
The following is a DFT calculation (GGA-PBE) of crystalline Dy2Al3Ru at its relaxed geometry.

For the formation energy, the calculation gives -0.5693 eV/atom. The total DFT energy (no corrections) is -5.52 eV/atom. The calculated volume comes out at 346 Å³/cell. The total moment is 0.0 μB/f.u. The density of states at the Fermi level is 0.793 states/eV/atom.

The structure belongs to space group R-3m (No. 166, hexagonal axes); the cell edges are 5.4907, 5.4907 and 13.2505 Å and the angles 90.00°, 90.00° and 120.00°. Symmetry generates all atoms from Dy at (0.0000, 0.0000, 0.1268), Al at (0.0000, 0.5000, 0.0000) and Ru at (0.0000, 0.0000, 0.5000).



7.
The following is a DFT calculation (GGA-PBE) of crystalline DyAlRu2 at its relaxed geometry.

For the formation energy, the calculation gives -0.3645 eV/atom. The total DFT energy (no corrections) is -7.09 eV/atom. The calculated volume comes out at 66 Å³/cell. The total moment is 0.0 μB/f.u. The density of states at the Fermi level is 1.484 states/eV/atom.

The structure belongs to space group P4/mmm (No. 123); the cell edges are 4.475, 4.475 and 3.318 Å and the angles 90.00°, 90.00° and 90.00°. Symmetry generates all atoms from Dy at (0.000, 0.000, 0.000), Al at (0.500, 0.500, 0.000) and Ru at (0.000, 0.500, 0.500).



8.
The following is a DFT calculation (GGA-PBE) of crystalline Dy4AlRu at its relaxed geometry.

For the formation energy, the calculation gives -0.3664 eV/atom. The total DFT energy (no corrections) is -5.60 eV/atom. The calculated volume comes out at 2430 Å³/cell. For the polymorph energy (0 for the lowest one), the calculation gives 0.0 meV per atom. The total moment is 0.0 μB/f.u. The density of states at the Fermi level is 0.754 states/eV/atom.

The structure belongs to space group F-43m (No. 216); the cell edges are 13.444, 13.444 and 13.444 Å and the angles 90.00°, 90.00° and 90.00°. Symmetry generates all atoms from Dy at (0.000, 0.000, 0.189), Dy at (0.056, 0.250, 0.250), Dy at (0.100, 0.100, 0.600), Al at (0.174, 0.174, 0.826) and Ru at (0.111, 0.111, 0.389).



9.
The following is a DFT calculation (GGA-PBE) of crystalline Dy3Al3Ru at its relaxed geometry.

For the formation energy, the calculation gives -0.4688 eV/atom. The total DFT energy (no corrections) is -5.37 eV/atom. The calculated volume comes out at 634 Å³/cell. The total moment is 0.0 μB/f.u. The density of states at the Fermi level is 0.675 states/eV/atom.

The structure belongs to space group C2/m (No. 12); the cell edges are 11.279, 3.816 and 15.320 Å and the angles 90.00°, 106.06° and 90.00°. Symmetry generates all atoms from Dy at (0.019, 0.000, 0.386), Dy at (0.125, 0.000, 0.922), Dy at (0.239, 0.000, 0.241), Al at (0.020, 0.500, 0.228), Al at (0.097, 0.500, 0.075), Al at (0.174, 0.500, 0.534) and Ru at (0.217, 0.500, 0.372).



10.
The following is a DFT calculation (GGA-PBE) of crystalline Dy4AlRu at its relaxed geometry.

For the formation energy, the calculation gives -0.3024 eV/atom. The total DFT energy (no corrections) is -5.54 eV/atom. The calculated volume comes out at 640 Å³/cell. For the polymorph energy (0 for the lowest one), the calculation gives 64.0 meV per atom. The total moment is 0.0 μB/f.u. The density of states at the Fermi level is 1.012 states/eV/atom.

The structure belongs to space group C2/c (No. 15); the cell edges are 8.780, 13.158 and 6.060 Å and the angles 90.00°, 113.90° and 90.00°. Symmetry generates all atoms from Dy at (0.113, 0.173, 0.067), Dy at (0.215, 0.429, 0.341), Al at (0.000, 0.373, 0.750) and Ru at (0.000, 0.000, 0.250).



11.
The following is a DFT calculation (GGA-PBE) of crystalline Dy4Al12Ru at its relaxed geometry.

For the formation energy, the calculation gives -0.4964 eV/atom. The total DFT energy (no corrections) is -4.77 eV/atom. The calculated volume comes out at 645 Å³/cell. The total moment is 0.0 μB/f.u. The density of states at the Fermi level is 0.771 states/eV/atom.

The structure belongs to space group Im-3m (No. 229); the cell edges are 8.642, 8.642 and 8.642 Å and the angles 90.00°, 90.00° and 90.00°. Symmetry generates all atoms from Dy at (0.250, 0.250, 0.250), Al at (0.000, 0.000, 0.285), Al at (0.000, 0.250, 0.500) and Ru at (0.000, 0.000, 0.000).



12.
The following is a DFT calculation (GGA-PBE) of crystalline Dy3Al12Ru4 at its relaxed geometry.

For the formation energy, the calculation gives -0.6678 eV/atom. The total DFT energy (no corrections) is -5.71 eV/atom. The calculated volume comes out at 642 Å³/cell. The total moment is 0.0 μB/f.u. The density of states at the Fermi level is 0.586 states/eV/atom.

The structure belongs to space group P6_3/mmc (No. 194); the cell edges are 8.7879, 8.7879 and 9.6025 Å and the angles 90.00°, 90.00° and 120.00°. Symmetry generates all atoms from Dy at (0.1937, 0.3874, 0.2500), Al at (0.0000, 0.0000, 0.2500), Al at (0.1234, 0.5617, 0.7500), Al at (0.1627, 0.3254, 0.5770), Al at (0.3333, 0.6667, 0.0163), Ru at (0.0000, 0.0000, 0.0000) and Ru at (0.0000, 0.5000, 0.0000).



13.
The following is a DFT calculation (GGA-PBE) of crystalline Dy8Al2Ru at its relaxed geometry.

For the formation energy, the calculation gives -0.2267 eV/atom. The total DFT energy (no corrections) is -5.10 eV/atom. The calculated volume comes out at 585 Å³/cell. The total moment is 0.0 μB/f.u. The density of states at the Fermi level is 0.847 states/eV/atom.

The structure belongs to space group C2/m (No. 12); the cell edges are 17.381, 5.255 and 6.892 Å and the angles 90.00°, 111.61° and 90.00°. Symmetry generates all atoms from Dy at (0.014, 0.000, 0.277), Dy at (0.099, 0.500, 0.919), Dy at (0.149, 0.500, 0.433), Dy at (0.199, 0.000, 0.770), Al at (0.180, 0.000, 0.194) and Ru at (0.000, 0.500, 0.500).



14.
The following is a DFT calculation (GGA-PBE) of crystalline Dy12Al3Ru5 at its relaxed geometry.

For the formation energy, the calculation gives 0.1190 eV/atom. The total DFT energy (no corrections) is -5.52 eV/atom. The calculated volume comes out at 4672 Å³/cell. The total moment is 0.0 μB/f.u. The density of states at the Fermi level is 0.671 states/eV/atom.

The structure belongs to space group Ia-3d (No. 230); the cell edges are 16.717, 16.717 and 16.717 Å and the angles 90.00°, 90.00° and 90.00°. Symmetry generates all atoms from Dy at (0.027, 0.060, 0.649), Al at (0.000, 0.250, 0.125), Ru at (0.000, 0.000, 0.000) and Ru at (0.000, 0.250, 0.375).



15.
The following is a DFT calculation (GGA-PBE) of crystalline DyScAlRu at its relaxed geometry.

For the formation energy, the calculation gives -0.4060 eV/atom. The total DFT energy (no corrections) is -6.39 eV/atom. The calculated volume comes out at 315 Å³/cell. The total moment is 0.0 μB/f.u. The density of states at the Fermi level is 0.743 states/eV/atom.

The structure belongs to space group F-43m (No. 216); the cell edges are 6.806, 6.806 and 6.806 Å and the angles 90.00°, 90.00° and 90.00°. Symmetry generates all atoms from Dy at (0.000, 0.000, 0.000), Sc at (0.000, 0.000, 0.500), Al at (0.250, 0.250, 0.750) and Ru at (0.250, 0.250, 0.250).



16.
The following is a DFT calculation (GGA-PBE) of crystalline DyAl2SiRu2 at its relaxed geometry.

The total DFT energy (no corrections) is -6.45 eV/atom. The calculated volume comes out at 110 Å³/cell. The total moment is 0.0 μB/f.u. The value obtained for the formation energy (no corrections) is -0.44 eV/atom. The density of states at the Fermi level is 0.690 states/eV/atom.

The structure belongs to space group P4/mmm (No. 123); the cell edges are 4.415, 4.415 and 5.631 Å and the angles 90.00°, 90.00° and 90.00°. Symmetry generates all atoms from Dy at (0.000, 0.000, 0.000), Al at (0.500, 0.500, 0.237), Si at (0.000, 0.000, 0.500) and Ru at (0.000, 0.500, 0.500).



17.
The following is a DFT calculation (GGA-PBE) of crystalline DyTmAlRu at its relaxed geometry.

For the formation energy, the calculation gives -0.3800 eV/atom. The total DFT energy (no corrections) is -5.90 eV/atom. The calculated volume comes out at 337 Å³/cell. The total moment is 0.0 μB/f.u. The density of states at the Fermi level is 0.693 states/eV/atom.

The structure belongs to space group F-43m (No. 216); the cell edges are 6.959, 6.959 and 6.959 Å and the angles 90.00°, 90.00° and 90.00°. Symmetry generates all atoms from Dy at (0.000, 0.000, 0.000), Tm at (0.000, 0.000, 0.500), Al at (0.250, 0.250, 0.250) and Ru at (0.250, 0.250, 0.750).